Record 1
# InPd4Se | the Alexandria database | GGA-PBE | optimized geometry
# Density of states at the Fermi level in states/eV per atom: 0.39
# Raw formation energy in meV per atom: -319
# ρ in Mg/m³: 10.18
# Total moment in μB/f.u.: 0.00
data_InPd4Se
_chemical_formula_sum 'In2 Pd8 Se2'
_cell_length_a 4.626
_cell_length_b 5.679
_cell_length_c 7.693
_cell_angle_alpha 90.00
_cell_angle_beta 90.85
_cell_angle_gamma 90.00
_space_group_name_H-M_alt 'P 1 21/m 1'
_space_group_IT_number 11
loop_
_space_group_symop_operation_xyz
'x,y,z'
'-x,-y,-z'
'-x,y+1/2,-z'
'x,-y+1/2,z'
loop_
_atom_site_label
_atom_site_type_symbol
_atom_site_fract_x
_atom_site_fract_y
_atom_site_fract_z
In1 In 0.248 0.250 0.424
Pd1 Pd 0.240 0.250 0.076
Pd2 Pd 0.247 0.750 0.385
Pd3 Pd 0.256 0.506 0.737
Se1 Se 0.263 0.750 0.054

***

Record 2
# InPdSe2 | the Alexandria database | GGA-PBE | optimized geometry
# Density of states at the Fermi level in states/eV per atom: 0.72
# Raw formation energy in meV per atom: -275
# ρ in Mg/m³: 7.10
# Total moment in μB/f.u.: 0.00
data_InPdSe2
_chemical_formula_sum 'In3 Pd3 Se6'
_cell_length_a 3.8794
_cell_length_b 3.8794
_cell_length_c 20.3979
_cell_angle_alpha 90.00
_cell_angle_beta 90.00
_cell_angle_gamma 120.00
_space_group_name_H-M_alt 'R 3 m'
_space_group_IT_number 160
_space_group_name_Hall 'R 3 -2"'
loop_
_atom_site_label
_atom_site_type_symbol
_atom_site_fract_x
_atom_site_fract_y
_atom_site_fract_z
In1 In 0.0000 0.0000 0.0000
Pd1 Pd 0.0000 0.0000 0.8325
Se1 Se 0.0000 0.0000 0.2350
Se2 Se 0.0000 0.0000 0.4336

***

Copy entry 1 word for word.
# InPd4Se | the Alexandria database | GGA-PBE | optimized geometry
# Density of states at the Fermi level in states/eV per atom: 0.39
# Raw formation energy in meV per atom: -319
# ρ in Mg/m³: 10.18
# Total moment in μB/f.u.: 0.00
data_InPd4Se
_chemical_formula_sum 'In2 Pd8 Se2'
_cell_length_a 4.626
_cell_length_b 5.679
_cell_length_c 7.693
_cell_angle_alpha 90.00
_cell_angle_beta 90.85
_cell_angle_gamma 90.00
_space_group_name_H-M_alt 'P 1 21/m 1'
_space_group_IT_number 11
loop_
_space_group_symop_operation_xyz
'x,y,z'
'-x,-y,-z'
'-x,y+1/2,-z'
'x,-y+1/2,z'
loop_
_atom_site_label
_atom_site_type_symbol
_atom_site_fract_x
_atom_site_fract_y
_atom_site_fract_z
In1 In 0.248 0.250 0.424
Pd1 Pd 0.240 0.250 0.076
Pd2 Pd 0.247 0.750 0.385
Pd3 Pd 0.256 0.506 0.737
Se1 Se 0.263 0.750 0.054

***

Copy entry 2 word for word.
# InPdSe2 | the Alexandria database | GGA-PBE | optimized geometry
# Density of states at the Fermi level in states/eV per atom: 0.72
# Raw formation energy in meV per atom: -275
# ρ in Mg/m³: 7.10
# Total moment in μB/f.u.: 0.00
data_InPdSe2
_chemical_formula_sum 'In3 Pd3 Se6'
_cell_length_a 3.8794
_cell_length_b 3.8794
_cell_length_c 20.3979
_cell_angle_alpha 90.00
_cell_angle_beta 90.00
_cell_angle_gamma 120.00
_space_group_name_H-M_alt 'R 3 m'
_space_group_IT_number 160
_space_group_name_Hall 'R 3 -2"'
loop_
_atom_site_label
_atom_site_type_symbol
_atom_site_fract_x
_atom_site_fract_y
_atom_site_fract_z
In1 In 0.0000 0.0000 0.0000
Pd1 Pd 0.0000 0.0000 0.8325
Se1 Se 0.0000 0.0000 0.2350
Se2 Se 0.0000 0.0000 0.4336

***

Which of these has the highest ρ?
InPd4Se

***

total moment of number 1 (InPd4Se)?
0.00 μB/f.u.